Material: BeCoF2
Method: DFT, GGA+U
State: optimized geometry

Cell lengths 2.849, 2.849, 26.015 Å; angles 90.00, 90.00, 120.00 degrees
Atoms (fractional coordinates):
Be 0.000 0.000 0.000
Be 0.333 0.667 0.667
Be 0.667 0.333 0.333
Co 0.000 0.000 0.500
Co 0.333 0.667 0.167
Co 0.667 0.333 0.833
F 0.000 0.000 0.053
F 0.000 0.000 0.947
F 0.333 0.667 0.613
F 0.333 0.667 0.720
F 0.667 0.333 0.280
F 0.667 0.333 0.387

- Density of states at the Fermi level: 7.1 states/eV/cell
- E above lowest polymorph: 0.5369 eV/atom
- Space group: R-3m, No. 166